[1]
{
  "formula": "PHI",
  "functional": "PBE",
  "state": "relaxed",
  "magmom_total_mub_per_atom": 0.00,
  "final_energy_ev_per_atom": -3.122,
  "e_above_lowest_polymorph_mev_per_atom": 347,
  "cell": [[-0.692, 5.068, 0.549], [-1.157, -1.851, -8.483], [-4.692, -0.992, 3.246]],
  "species": ["I", "I", "H", "H", "P", "P"],
  "fractional_positions": [[0.166, 0.332, 0.683], [0.834, 0.668, 0.317], [0.929, 0.858, 0.563], [0.071, 0.142, 0.437], [0.438, 0.877, 0.954], [0.562, 0.123, 0.046]]
}

[2]
{
  "formula": "PH2I",
  "functional": "PBE",
  "state": "relaxed",
  "magmom_total_mub_per_atom": 0.00,
  "final_energy_ev_per_atom": -3.011,
  "e_above_lowest_polymorph_mev_per_atom": 481,
  "cell": [[-4.256, -2.463, -2.605], [-1.718, -2.149, 4.837], [-5.214, 0.881, 1.741]],
  "species": ["H", "H", "H", "H", "P", "P", "I", "I"],
  "fractional_positions": [[0.376, 0.125, 0.250], [0.374, 0.625, 0.250], [0.875, 0.626, 0.750], [0.375, 0.624, 0.750], [0.500, 0.500, 0.000], [0.250, 0.750, 0.500], [0.000, 0.000, 0.000], [0.750, 0.250, 0.500]]
}